Entry 1:
Compound: Mg2PdF
Source: Alexandria
Functional: GGA-PBE
Structure: optimized geometry Values from VASP.

Structure (Quantum ESPRESSO input):
```
&SYSTEM
  ibrav = 0, nat = 4, ntyp = 3
/
ATOMIC_SPECIES
F 19.00 F.upf
Pd 106.42 Pd.upf
Mg 24.30 Mg.upf
ATOMIC_POSITIONS crystal
F 0.000 0.000 0.000
Pd 0.500 0.500 0.500
Mg 0.250 0.250 0.250
Mg 0.750 0.750 0.750
CELL_PARAMETERS angstrom
0.000 3.187 3.187
3.187 0.000 3.187
3.187 3.187 0.000
```

Output
**Space group**: Fm-3m
**Crystal system**: cubic
**Energy relative to the elements, uncorrected**: -974.8 meV/atom
**D(E_F)**: 1.950 states/eV/f.u.


Entry 2:
Compound: MgPdF4
Source: Alexandria
Functional: GGA-PBE
Structure: optimized geometry Values from VASP.

Structure (Quantum ESPRESSO input):
```
&SYSTEM
  ibrav = 0, nat = 6, ntyp = 3
/
ATOMIC_SPECIES
Mg 24.30 Mg.upf
F 19.00 F.upf
Pd 106.42 Pd.upf
ATOMIC_POSITIONS crystal
Mg 0.000 0.000 0.000
F 0.500 0.182 0.818
F 0.000 0.286 0.286
F 0.000 0.714 0.714
F 0.500 0.818 0.182
Pd 0.500 0.500 0.500
CELL_PARAMETERS angstrom
-1.318 2.351 -1.781
-2.105 -3.379 -2.903
-3.999 -0.060 2.878
```

Output
**Space group**: Cmmm
**Crystal system**: orthorhombic
**Energy relative to the elements, uncorrected**: -2289.4 meV/atom